[1]
# ScCuRh2 GGA-PBE optimized geometry
data_ScCuRh2
_space_group_name_H-M_alt 'P 1'
_space_group_IT_number 1
_cell_length_a 9.119
_cell_length_b 9.119
_cell_length_c 9.119
_cell_angle_alpha 155.24
_cell_angle_beta 155.24
_cell_angle_gamma 35.30
loop_
_space_group_symop_operation_xyz
'x,y,z'
loop_
_atom_site_label
_atom_site_type_symbol
_atom_site_fract_x
_atom_site_fract_y
_atom_site_fract_z
Sc1 Sc 0.000 0.000 0.000
Sc2 Sc 0.750 0.250 0.500
Cu1 Cu 0.250 0.750 0.500
Cu2 Cu 0.500 0.500 0.000
Rh1 Rh 0.160 0.625 0.035
Rh2 Rh 0.375 0.410 0.535
Rh3 Rh 0.590 0.125 0.965
Rh4 Rh 0.875 0.840 0.465
# E_form = -0.1261 eV/atom
# Theoretical density = 7.9 g/cm³
# Volume = 132.86 Å³/cell
# Total magnetization = 0.00 μB per cell

[2]
# PmGdIn2 GGA-PBE optimized geometry
data_PmGdIn2
_space_group_name_H-M_alt 'P 1'
_space_group_IT_number 1
_cell_length_a 3.792
_cell_length_b 3.792
_cell_length_c 7.752
_cell_angle_alpha 90.00
_cell_angle_beta 90.00
_cell_angle_gamma 90.00
loop_
_space_group_symop_operation_xyz
'x,y,z'
loop_
_atom_site_label
_atom_site_type_symbol
_atom_site_fract_x
_atom_site_fract_y
_atom_site_fract_z
Pm1 Pm 0.000 0.000 0.000
Gd1 Gd 0.000 0.000 0.500
In1 In 0.500 0.500 0.255
In2 In 0.500 0.500 0.745
# E_form = -0.4982 eV/atom
# Theoretical density = 7.9 g/cm³
# Volume = 111.50 Å³/cell
# Total magnetization = 7.20 μB per cell

[3]
# RbH2O2F GGA-PBE optimized geometry
data_RbH2O2F
_space_group_name_H-M_alt 'P 1'
_space_group_IT_number 1
_cell_length_a 12.176
_cell_length_b 12.176
_cell_length_c 4.534
_cell_angle_alpha 90.00
_cell_angle_beta 90.00
_cell_angle_gamma 90.00
loop_
_space_group_symop_operation_xyz
'x,y,z'
loop_
_atom_site_label
_atom_site_type_symbol
_atom_site_fract_x
_atom_site_fract_y
_atom_site_fract_z
Rb1 Rb 0.000 0.000 0.000
Rb2 Rb 0.000 0.500 0.249
Rb3 Rb 0.238 0.262 0.246
Rb4 Rb 0.262 0.762 0.754
Rb5 Rb 0.500 0.000 0.751
Rb6 Rb 0.500 0.500 0.000
Rb7 Rb 0.738 0.238 0.754
Rb8 Rb 0.762 0.738 0.246
H1 H 0.042 0.285 0.723
H2 H 0.069 0.740 0.304
H3 H 0.215 0.458 0.723
H4 H 0.240 0.569 0.304
H5 H 0.260 0.069 0.696
H6 H 0.285 0.958 0.277
H7 H 0.431 0.240 0.696
H8 H 0.458 0.785 0.277
H9 H 0.542 0.215 0.277
H10 H 0.569 0.760 0.696
H11 H 0.715 0.042 0.277
H12 H 0.740 0.931 0.696
H13 H 0.760 0.431 0.304
H14 H 0.785 0.542 0.723
H15 H 0.931 0.260 0.304
H16 H 0.958 0.715 0.723
O1 O 0.000 0.215 0.354
O2 O 0.000 0.785 0.354
O3 O 0.004 0.783 0.679
O4 O 0.215 0.000 0.646
O5 O 0.217 0.004 0.321
O6 O 0.283 0.504 0.679
O7 O 0.285 0.500 0.354
O8 O 0.496 0.283 0.321
O9 O 0.500 0.285 0.646
O10 O 0.500 0.715 0.646
O11 O 0.504 0.717 0.321
O12 O 0.715 0.500 0.354
O13 O 0.717 0.496 0.679
O14 O 0.783 0.996 0.321
O15 O 0.785 0.000 0.646
O16 O 0.996 0.217 0.679
F1 F 0.113 0.387 0.776
F2 F 0.167 0.667 0.243
F3 F 0.333 0.167 0.757
F4 F 0.387 0.887 0.224
F5 F 0.613 0.113 0.224
F6 F 0.667 0.833 0.757
F7 F 0.833 0.333 0.243
F8 F 0.887 0.613 0.776
# Theoretical density = 2.7 g/cm³
# Volume = 672.13 Å³/cell
# Electronic total energy = -0.334 Ry/atom
# Total magnetization = 0.00 μB per cell

[4]
# ZrOs2Pb GGA-PBE optimized geometry
data_ZrOs2Pb
_space_group_name_H-M_alt 'P 1'
_space_group_IT_number 1
_cell_length_a 3.015
_cell_length_b 4.606
_cell_length_c 5.515
_cell_angle_alpha 90.00
_cell_angle_beta 90.83
_cell_angle_gamma 90.00
loop_
_space_group_symop_operation_xyz
'x,y,z'
loop_
_atom_site_label
_atom_site_type_symbol
_atom_site_fract_x
_atom_site_fract_y
_atom_site_fract_z
Zr1 Zr 0.000 0.000 0.000
Os1 Os 0.327 0.500 0.210
Os2 Os 0.673 0.500 0.790
Pb1 Pb 0.500 0.000 0.500
# E_form = 0.4800 eV/atom
# Theoretical density = 14.7 g/cm³
# Volume = 76.60 Å³/cell
# Total magnetization = 0.00 μB per cell

[5]
# DyZrGe2 GGA-PBE optimized geometry
data_DyZrGe2
_space_group_name_H-M_alt 'P 1'
_space_group_IT_number 1
_cell_length_a 7.109
_cell_length_b 7.109
_cell_length_c 7.109
_cell_angle_alpha 32.19
_cell_angle_beta 32.19
_cell_angle_gamma 32.19
loop_
_space_group_symop_operation_xyz
'x,y,z'
loop_
_atom_site_label
_atom_site_type_symbol
_atom_site_fract_x
_atom_site_fract_y
_atom_site_fract_z
Dy1 Dy 0.000 0.000 0.000
Zr1 Zr 0.500 0.500 0.500
Ge1 Ge 0.244 0.244 0.244
Ge2 Ge 0.756 0.756 0.756
# Polymorph energy (0 for the lowest one) = 0 meV/atom
# E_form = -0.7280 eV/atom
# Theoretical density = 7.3 g/cm³
# Volume = 90.65 Å³/cell
# Total magnetization = 0.00 μB per cell

[6]
# PmZnSi2Ni GGA-PBE optimized geometry
data_PmZnSi2Ni
_space_group_name_H-M_alt 'P 1'
_space_group_IT_number 1
_cell_length_a 5.807
_cell_length_b 5.807
_cell_length_c 5.807
_cell_angle_alpha 139.26
_cell_angle_beta 139.26
_cell_angle_gamma 58.98
loop_
_space_group_symop_operation_xyz
'x,y,z'
loop_
_atom_site_label
_atom_site_type_symbol
_atom_site_fract_x
_atom_site_fract_y
_atom_site_fract_z
Pm1 Pm 0.000 0.000 0.000
Zn1 Zn 0.750 0.250 0.500
Si1 Si 0.381 0.381 0.000
Si2 Si 0.619 0.619 0.000
Ni1 Ni 0.250 0.750 0.500
# Theoretical density = 6.5 g/cm³
# Volume = 82.64 Å³/cell
# Formation energy without anion corrections = -15.06 kcal/mol of atoms
# Total magnetization = 0.00 μB per cell

[7]
# LiCeZn GGA-PBE optimized geometry
data_LiCeZn
_space_group_name_H-M_alt 'P 1'
_space_group_IT_number 1
_cell_length_a 3.103
_cell_length_b 4.116
_cell_length_c 9.293
_cell_angle_alpha 90.00
_cell_angle_beta 92.00
_cell_angle_gamma 90.00
loop_
_space_group_symop_operation_xyz
'x,y,z'
loop_
_atom_site_label
_atom_site_type_symbol
_atom_site_fract_x
_atom_site_fract_y
_atom_site_fract_z
Li1 Li 0.235 0.250 0.078
Li2 Li 0.765 0.750 0.922
Ce1 Ce 0.241 0.250 0.421
Ce2 Ce 0.759 0.750 0.579
Zn1 Zn 0.274 0.250 0.777
Zn2 Zn 0.726 0.750 0.223
# Polymorph energy (0 for the lowest one) = 0 meV/atom
# E_form = -0.0950 eV/atom
# Theoretical density = 5.9 g/cm³
# Volume = 118.63 Å³/cell
# Total magnetization = 0.00 μB per cell

[8]
# Tm2Ni5As3 GGA-PBE optimized geometry
data_Tm2Ni5As3
_space_group_name_H-M_alt 'P 1'
_space_group_IT_number 1
_cell_length_a 11.597
_cell_length_b 11.597
_cell_length_c 6.507
_cell_angle_alpha 90.00
_cell_angle_beta 90.00
_cell_angle_gamma 159.88
loop_
_space_group_symop_operation_xyz
'x,y,z'
loop_
_atom_site_label
_atom_site_type_symbol
_atom_site_fract_x
_atom_site_fract_y
_atom_site_fract_z
Tm1 Tm 0.018 0.982 0.500
Tm2 Tm 0.325 0.675 0.502
Tm3 Tm 0.675 0.325 0.002
Tm4 Tm 0.982 0.018 0.000
Ni1 Ni 0.106 0.894 0.808
Ni2 Ni 0.207 0.793 0.338
Ni3 Ni 0.217 0.783 0.731
Ni4 Ni 0.376 0.624 0.018
Ni5 Ni 0.446 0.554 0.688
Ni6 Ni 0.554 0.446 0.188
Ni7 Ni 0.624 0.376 0.518
Ni8 Ni 0.783 0.217 0.231
Ni9 Ni 0.793 0.207 0.838
Ni10 Ni 0.894 0.106 0.308
As1 As 0.109 0.891 0.208
As2 As 0.272 0.728 0.037
As3 As 0.449 0.551 0.294
As4 As 0.551 0.449 0.794
As5 As 0.728 0.272 0.537
As6 As 0.891 0.109 0.708
# E_form = -0.6522 eV/atom
# Theoretical density = 9.4 g/cm³
# Volume = 301.01 Å³/cell
# Total magnetization = 0.00 μB per cell